1.
Compound: Pr5RhSe4
Source: the Alexandria database
Functional: PBE
Structure: relaxed

Computed properties:
The total energy comes out at -61.02 eV/f.u. For the density of states at the Fermi level, the calculation gives 5.69 states/eV per cell.

Cell lengths 15.3541, 15.3541, 15.3541 Å; angles 164.05, 164.05, 22.63 degrees
Closest atoms and distances in Å follow each position.
Fractional coordinates of all 10 atoms:
Pr 0.0000 0.0000 0.0000  4 Rh 3.01, 2 Se 3.08
Pr 0.2035 0.2035 0.0000  6 Se 3.02-3.05
Pr 0.4061 0.4061 0.0000  1 Rh 2.83, 5 Se 3.02-3.07
Pr 0.5939 0.5939 0.0000  1 Rh 2.83, 5 Se 3.02-3.07
Pr 0.7965 0.7965 0.0000  6 Se 3.02-3.05
Rh 0.5000 0.5000 0.0000  6 Pr 2.83-3.01
Se 0.1022 0.1022 0.0000  6 Pr 3.02-3.08
Se 0.3043 0.3043 0.0000  6 Pr 3.02-3.07
Se 0.6957 0.6957 0.0000  6 Pr 3.02-3.07
Se 0.8978 0.8978 0.0000  6 Pr 3.02-3.08

---

2.
Compound: Pr2RhSe
Source: the Alexandria database
Functional: PBE
Structure: relaxed

Computed properties:
The value obtained for the offset from the most stable computed form is 35 meV/atom. For the density of states at the Fermi level, the calculation gives 2.24 states/eV per cell.

Cell lengths 7.7139, 7.7139, 7.7139 Å; angles 31.09, 31.09, 31.09 degrees
Closest atoms and distances in Å follow each position.
Fractional coordinates of all 4 atoms:
Pr 0.2431 0.2431 0.2431  3 Rh 2.92, 3 Se 3.10
Pr 0.7569 0.7569 0.7569  3 Rh 2.92, 3 Se 3.10
Rh 0.5000 0.5000 0.5000  6 Pr 2.92
Se 0.0000 0.0000 0.0000  6 Pr 3.10